(1)
HfCd after structural relaxation, computed with GGA-PBE.

## Properties
ΔE_f: -8 kJ/mol of formula units
crystal system: trigonal
space group: R-3m (166)

Geometry as CIF:
```
data_HfCd
_chemical_formula_sum 'Hf6 Cd6'
_cell_length_a 3.2239
_cell_length_b 3.2239
_cell_length_c 30.0004
_cell_angle_alpha 90.00
_cell_angle_beta 90.00
_cell_angle_gamma 120.00
_symmetry_space_group_name_H-M 'P 1'
_symmetry_Int_Tables_number 1
_symmetry_space_group_name_Hall 'P 1'
loop_
_atom_site_label
_atom_site_type_symbol
_atom_site_fract_x
_atom_site_fract_y
_atom_site_fract_z
_atom_site_occupancy
Hf1 Hf 0.0000 0.0000 0.7937 1
Hf2 Hf 0.0000 0.0000 0.2063 1
Hf3 Hf 0.3333 0.6667 0.4604 1
Hf4 Hf 0.3333 0.6667 0.8730 1
Hf5 Hf 0.6667 0.3333 0.1270 1
Hf6 Hf 0.6667 0.3333 0.5396 1
Cd1 Cd 0.0000 0.0000 0.6247 1
Cd2 Cd 0.0000 0.0000 0.3753 1
Cd3 Cd 0.3333 0.6667 0.2914 1
Cd4 Cd 0.3333 0.6667 0.0419 1
Cd5 Cd 0.6667 0.3333 0.9581 1
Cd6 Cd 0.6667 0.3333 0.7086 1
```



(2)
TlAg4 after structural relaxation, computed with GGA-PBE.

## Properties
ΔE_f: 82 kJ/mol of formula units
crystal system: tetragonal
space group: I4/mmm (139)

Geometry as CIF:
```
data_TlAg4
_chemical_formula_sum 'Tl1 Ag4'
_cell_length_a 7.4232
_cell_length_b 7.4232
_cell_length_c 7.4232
_cell_angle_alpha 148.73
_cell_angle_beta 148.73
_cell_angle_gamma 44.81
_symmetry_space_group_name_H-M 'P 1'
_symmetry_Int_Tables_number 1
_symmetry_space_group_name_Hall 'P 1'
loop_
_atom_site_label
_atom_site_type_symbol
_atom_site_fract_x
_atom_site_fract_y
_atom_site_fract_z
_atom_site_occupancy
Tl1 Tl 0.0000 0.0000 0.0000 1
Ag1 Ag 0.7500 0.2500 0.5000 1
Ag2 Ag 0.2500 0.7500 0.5000 1
Ag3 Ag 0.6013 0.6013 0.0000 1
Ag4 Ag 0.3987 0.3987 0.0000 1
```



(3)
CaMgPb2 after structural relaxation, computed with GGA-PBE.

## Properties
ΔE_f: -65 kJ/mol of formula units
crystal system: cubic
space group: F-43m (216)

Geometry as CIF:
```
data_CaMgPb2
_chemical_formula_sum 'Ca1 Mg1 Pb2'
_cell_length_a 5.5357
_cell_length_b 5.5357
_cell_length_c 5.5357
_cell_angle_alpha 60.00
_cell_angle_beta 60.00
_cell_angle_gamma 60.00
_symmetry_space_group_name_H-M 'P 1'
_symmetry_Int_Tables_number 1
_symmetry_space_group_name_Hall 'P 1'
loop_
_atom_site_label
_atom_site_type_symbol
_atom_site_fract_x
_atom_site_fract_y
_atom_site_fract_z
_atom_site_occupancy
Ca1 Ca 0.5000 0.5000 0.5000 1
Mg1 Mg 0.7500 0.7500 0.7500 1
Pb1 Pb 0.0000 0.0000 0.0000 1
Pb2 Pb 0.2500 0.2500 0.2500 1
```



(4)
La9Tb2Pm after structural relaxation, computed with GGA-PBE.

## Properties
ΔE_f: 8 kJ/mol of formula units
crystal system: tetragonal
space group: P4/mmm (123)

Geometry as CIF:
```
data_La9Tb2Pm
_chemical_formula_sum 'La9 Tb2 Pm1'
_cell_length_a 5.2184
_cell_length_b 5.2184
_cell_length_c 15.6566
_cell_angle_alpha 90.00
_cell_angle_beta 90.00
_cell_angle_gamma 90.00
_symmetry_space_group_name_H-M 'P 1'
_symmetry_Int_Tables_number 1
_symmetry_space_group_name_Hall 'P 1'
loop_
_atom_site_label
_atom_site_type_symbol
_atom_site_fract_x
_atom_site_fract_y
_atom_site_fract_z
_atom_site_occupancy
La1 La 0.5000 0.5000 0.0000 1
La2 La 0.5000 0.5000 0.3340 1
La3 La 0.5000 0.5000 0.6660 1
La4 La 0.5000 0.0000 0.1679 1
La5 La 0.5000 0.0000 0.5000 1
La6 La 0.5000 0.0000 0.8321 1
La7 La 0.0000 0.5000 0.1679 1
La8 La 0.0000 0.5000 0.5000 1
La9 La 0.0000 0.5000 0.8321 1
Tb1 Tb 0.0000 0.0000 0.3342 1
Tb2 Tb 0.0000 0.0000 0.6658 1
Pm1 Pm 0.0000 0.0000 0.0000 1
```